(1)
The following is a DFT calculation (meta-GGA SCAN) of a crystal of TlFe2Br relaxed with PBEsol.

```
TlFe2Br
1.0
3.113 0.000 0.000
0.000 3.113 0.000
0.000 0.000 6.822
Fe Tl Br
2 1 1
direct
0.000 0.000 0.277
0.000 0.000 0.723
0.500 0.500 0.000
0.500 0.500 0.500
```

Values from the calculation:
Formation energy without anion corrections: 0.65 eV/atom
SG: No. 123
Relative energy among the computed polymorphs: 436 meV/atom
Calculated total energy: -1.1526 Ha/atom
DOS at the Fermi energy: 3.24 states/eV/cell
Magnetization: 5.90 Bohr magnetons per cell

---

(2)
The following is a DFT calculation (meta-GGA SCAN) of a crystal of TlFeBr relaxed with PBEsol.

```
TlFeBr
1.0
4.583 0.000 0.000
2.291 3.969 0.000
2.291 1.323 3.742
Fe Br Tl
1 1 1
direct
0.250 0.250 0.250
0.500 0.500 0.500
0.000 0.000 0.000
```

Values from the calculation:
Formation energy without anion corrections: 0.44 eV/atom
SG: No. 216
Calculated total energy: -1.3305 Ha/atom
DOS at the Fermi energy: 1.44 states/eV/cell
Magnetization: 2.64 Bohr magnetons per cell

---

(3)
The following is a DFT calculation (meta-GGA SCAN) of a crystal of Tl2FeBr relaxed with PBEsol.

```
Tl2FeBr
1.0
3.250 0.000 0.000
0.000 5.994 -0.050
-1.625 -2.467 4.879
Fe Tl Br
1 2 1
direct
0.806 0.153 0.611
0.064 0.126 0.128
0.215 0.730 0.431
0.415 0.491 0.830
```

Values from the calculation:
Formation energy without anion corrections: 0.11 eV/atom
SG: No. 8
Relative energy among the computed polymorphs: 0 meV/atom
Calculated total energy: -1.6709 Ha/atom
DOS at the Fermi energy: 2.04 states/eV/cell
Magnetization: 3.06 Bohr magnetons per cell

---

(4)
The following is a DFT calculation (meta-GGA SCAN) of a crystal of TlFe3Br relaxed with PBEsol.

```
TlFe3Br
1.0
4.391 0.000 0.000
0.000 4.391 0.000
0.000 0.000 4.391
Tl Br Fe
1 1 3
direct
0.500 0.500 0.500
0.000 0.000 0.000
0.000 0.500 0.000
0.000 0.000 0.500
0.500 0.000 0.000
```

Values from the calculation:
Formation energy without anion corrections: 1.11 eV/atom
SG: No. 221
Calculated total energy: -1.0340 Ha/atom
DOS at the Fermi energy: 2.30 states/eV/cell
Magnetization: 6.71 Bohr magnetons per cell

---

(5)
The following is a DFT calculation (meta-GGA SCAN) of a crystal of FeWBr3 relaxed with PBEsol.

```
FeWBr3
1.0
4.916 0.000 0.000
0.000 4.916 0.000
0.000 0.000 4.916
Br Fe W
3 1 1
direct
0.000 0.000 0.500
0.500 0.000 0.000
0.000 0.500 0.000
0.000 0.000 0.000
0.500 0.500 0.500
```

Values from the calculation:
Formation energy without anion corrections: 1.08 eV/atom
SG: No. 221
Calculated total energy: -1.0349 Ha/atom
DOS at the Fermi energy: 6.98 states/eV/cell
Magnetization: 8.85 Bohr magnetons per cell

---

(6)
The following is a DFT calculation (meta-GGA SCAN) of a crystal of FeWBr2 relaxed with PBEsol.

```
FeWBr2
1.0
4.648 0.000 0.000
2.324 4.026 0.000
2.324 1.342 3.795
Br Fe W
2 1 1
direct
0.750 0.750 0.750
0.000 0.000 0.000
0.500 0.500 0.500
0.250 0.250 0.250
```

Values from the calculation:
Formation energy without anion corrections: 1.48 eV/atom
SG: No. 216
Relative energy among the computed polymorphs: 131 meV/atom
Calculated total energy: -1.1100 Ha/atom
DOS at the Fermi energy: 0.25 states/eV/cell
Magnetization: 0.03 Bohr magnetons per cell

---

(7)
The following is a DFT calculation (meta-GGA SCAN) of a crystal of FeWBr2 relaxed with PBEsol.

```
FeWBr2
1.0
-1.228 -2.717 -0.940
4.131 -1.532 -0.968
0.380 -1.622 4.192
Br W Fe
2 1 1
direct
0.000 0.000 0.500
0.000 0.500 0.000
0.500 0.000 0.000
0.500 0.500 0.500
```

Values from the calculation:
Formation energy without anion corrections: 1.35 eV/atom
SG: No. 123
Relative energy among the computed polymorphs: 0 meV/atom
Calculated total energy: -1.1148 Ha/atom
DOS at the Fermi energy: 3.17 states/eV/cell
Magnetization: 4.53 Bohr magnetons per cell

---

(8)
The following is a DFT calculation (meta-GGA SCAN) of a crystal of Y2FeBr relaxed with PBEsol.

```
Y2FeBr
1.0
-3.025 -1.303 2.215
-2.158 -0.570 -3.283
2.002 -5.313 -0.392
Br Fe Y
1 1 2
direct
0.000 0.000 0.375
0.500 0.500 0.875
0.500 0.500 0.375
0.000 0.000 0.875
```

Values from the calculation:
Formation energy without anion corrections: -0.36 eV/atom
SG: No. 123
Relative energy among the computed polymorphs: 0 meV/atom
Calculated total energy: -0.8700 Ha/atom
DOS at the Fermi energy: 2.91 states/eV/cell
Magnetization: 2.36 Bohr magnetons per cell

---

Question: What is the formula in the fifth record?
Answer: FeWBr3